# 1
Entry from the Alexandria database: crystalline DyHoHgPt at its relaxed geometry (PBE).

Unit cell a=3.568 b=3.568 c=7.339 alpha=90.00 beta=90.00 gamma=90.00
Atoms (fractional coordinates):
1 Dy 0.000 0.000 0.000
2 Ho 0.000 0.000 0.451
3 Hg 0.500 0.500 0.724
4 Pt 0.500 0.500 0.228

Properties
symmetry	P4mm, No. 99
ΔH_f (0 K)	-0.872	eV per atom
ΔE to the lowest computed polymorph	0	meV per atom
M_tot	0.00	μB per formula unit
VASP energy	-4.752	eV/atom

# 2
Entry from the Alexandria database: crystalline CsH7Pd4 at its relaxed geometry (PBE).

Unit cell a=10.591 b=5.562 c=5.175 alpha=90.00 beta=90.00 gamma=90.00
Atoms (fractional coordinates):
1 Cs 0.000 0.231 0.000
2 Cs 0.500 0.769 0.500
3 H 0.000 0.898 0.459
4 H 0.148 0.601 0.691
5 H 0.218 0.114 0.326
6 H 0.219 0.704 0.283
7 H 0.281 0.296 0.783
8 H 0.282 0.886 0.826
9 H 0.352 0.399 0.191
10 H 0.500 0.102 0.959
11 H 0.648 0.399 0.191
12 H 0.718 0.886 0.826
13 H 0.719 0.296 0.783
14 H 0.781 0.704 0.283
15 H 0.782 0.114 0.326
16 H 0.852 0.601 0.691
17 Pd 0.165 0.891 0.553
18 Pd 0.235 0.401 0.474
19 Pd 0.265 0.599 0.974
20 Pd 0.335 0.109 0.053
21 Pd 0.665 0.109 0.053
22 Pd 0.735 0.599 0.974
23 Pd 0.765 0.401 0.474
24 Pd 0.835 0.891 0.553

Properties
symmetry	Pmn2_1, No. 31
M_tot	0.00	μB per formula unit
VASP energy	-3.818	eV/atom

# 3
Entry from the Alexandria database: crystalline Pb2Se at its relaxed geometry (PBE).

Unit cell a=6.259 b=6.259 c=9.035 alpha=119.04 beta=119.04 gamma=36.14
Atoms (fractional coordinates):
1 Pb 0.064 0.064 0.334
2 Pb 0.339 0.339 0.938
3 Pb 0.661 0.661 0.062
4 Pb 0.936 0.936 0.666
5 Se 0.319 0.319 0.364
6 Se 0.681 0.681 0.636

Properties
symmetry	C2/m, No. 12
energy relative to the elements, uncorrected	-0.22	eV/atom
ΔE to the lowest computed polymorph	20	meV per atom
M_tot	0.00	μB per formula unit
VASP energy	-3.852	eV/atom

# 4
Entry from the Alexandria database: crystalline TaTe2P at its relaxed geometry (PBE).

Unit cell a=4.489 b=4.489 c=7.597 alpha=97.04 beta=97.04 gamma=47.56
Atoms (fractional coordinates):
1 Ta 0.000 0.000 0.000
2 Te 0.292 0.292 0.759
3 Te 0.518 0.518 0.296
4 P 0.706 0.706 0.056

Properties
symmetry	Cm, No. 8
energy relative to the elements, uncorrected	-0.28	eV/atom
M_tot	0.00	μB per formula unit
VASP energy	-6.163	eV/atom

# 5
Entry from the Alexandria database: crystalline BaTl2CdAg at its relaxed geometry (PBE).

Unit cell a=7.226 b=7.226 c=7.226 alpha=140.62 beta=139.88 gamma=57.48
Atoms (fractional coordinates):
1 Ba 0.000 0.000 0.000
2 Tl 0.390 0.390 0.000
3 Tl 0.740 0.240 0.500
4 Cd 0.238 0.738 0.500
5 Ag 0.616 0.616 0.000

Properties
symmetry	Imm2, No. 44
ΔH_f (0 K)	-0.228	eV per atom
ΔE to the lowest computed polymorph	0	meV per atom
M_tot	0.00	μB per formula unit
VASP energy	-2.313	eV/atom

# 6
Entry from the Alexandria database: crystalline BeAs4Se at its relaxed geometry (PBE).

Unit cell a=5.516 b=5.516 c=5.516 alpha=60.00 beta=60.00 gamma=60.00
Atoms (fractional coordinates):
1 Be 0.000 0.000 0.000
2 As 0.375 0.375 0.375
3 As 0.375 0.375 0.875
4 As 0.375 0.875 0.375
5 As 0.875 0.375 0.375
6 Se 0.750 0.750 0.750

Properties
symmetry	F-43m, No. 216
energy relative to the elements, uncorrected	0.76	eV/atom
M_tot	0.00	μB per formula unit
VASP energy	-3.538	eV/atom

# 7
Entry from the Alexandria database: crystalline Li2AlGeS4 at its relaxed geometry (PBE).

Unit cell a=7.892 b=6.920 c=6.212 alpha=90.00 beta=90.00 gamma=90.00
Atoms (fractional coordinates):
1 Li 0.250 0.171 0.000
2 Li 0.250 0.829 0.500
3 Li 0.750 0.171 0.000
4 Li 0.750 0.829 0.500
5 Al 0.000 0.342 0.505
6 Al 0.500 0.658 0.005
7 Ge 0.000 0.668 0.996
8 Ge 0.500 0.332 0.496
9 S 0.000 0.345 0.873
10 S 0.000 0.650 0.380
11 S 0.231 0.174 0.394
12 S 0.269 0.826 0.894
13 S 0.500 0.350 0.880
14 S 0.500 0.655 0.373
15 S 0.731 0.826 0.894
16 S 0.769 0.174 0.394

Properties
symmetry	Pmn2_1, No. 31
energy relative to the elements, uncorrected	-0.93	eV/atom
M_tot	0.00	μB per formula unit
VASP energy	-4.516	eV/atom

# 8
Entry from the Alexandria database: crystalline SrCrAg2 at its relaxed geometry (PBE).

Unit cell a=3.651 b=3.651 c=7.010 alpha=90.00 beta=90.00 gamma=90.00
Atoms (fractional coordinates):
1 Sr 0.000 0.000 0.000
2 Cr 0.000 0.000 0.500
3 Ag 0.500 0.500 0.300
4 Ag 0.500 0.500 0.700

Properties
symmetry	P4/mmm, No. 123
ΔH_f (0 K)	0.228	eV per atom
ΔE to the lowest computed polymorph	68	meV per atom
M_tot	4.56	μB per formula unit
VASP energy	-4.024	eV/atom

# 9
Entry from the Alexandria database: crystalline La3NdTl4 at its relaxed geometry (PBE).

Unit cell a=10.324 b=10.324 c=10.324 alpha=158.65 beta=137.26 gamma=48.25
Atoms (fractional coordinates):
1 La 0.000 0.000 0.000
2 La 0.287 0.787 0.500
3 La 0.713 0.213 0.500
4 Nd 0.500 0.500 0.000
5 Tl 0.082 0.373 0.709
6 Tl 0.336 0.627 0.709
7 Tl 0.664 0.373 0.291
8 Tl 0.918 0.627 0.291

Properties
symmetry	Immm, No. 71
ΔH_f (0 K)	-0.276	eV per atom
ΔE to the lowest computed polymorph	141	meV per atom
M_tot	0.00	μB per formula unit
VASP energy	-3.903	eV/atom

# 10
Entry from the Alexandria database: crystalline La2GaPb2 at its relaxed geometry (PBE).

Unit cell a=8.077 b=8.077 c=4.775 alpha=90.00 beta=90.00 gamma=90.00
Atoms (fractional coordinates):
1 La 0.174 0.326 0.000
2 La 0.326 0.826 0.000
3 La 0.674 0.174 0.000
4 La 0.826 0.674 0.000
5 Ga 0.000 0.000 0.500
6 Ga 0.500 0.500 0.500
7 Pb 0.134 0.634 0.500
8 Pb 0.366 0.134 0.500
9 Pb 0.634 0.866 0.500
10 Pb 0.866 0.366 0.500

Properties
symmetry	P4/mbm, No. 127
ΔH_f (0 K)	-0.478	eV per atom
ΔE to the lowest computed polymorph	0	meV per atom
M_tot	0.00	μB per formula unit
VASP energy	-4.537	eV/atom

# 11
Entry from the Alexandria database: crystalline Ta2BeRu at its relaxed geometry (PBE).

Unit cell a=5.220 b=5.220 c=4.426 alpha=114.71 beta=114.71 gamma=34.02
Atoms (fractional coordinates):
1 Ta 0.000 0.000 0.000
2 Ta 0.237 0.237 0.738
3 Be 0.774 0.774 0.275
4 Ru 0.493 0.493 0.492

Properties
symmetry	Cm, No. 8
ΔH_f (0 K)	-0.087	eV per atom
M_tot	0.00	μB per formula unit
VASP energy	-9.264	eV/atom

# 12
Entry from the Alexandria database: crystalline Rb3Pu2SbTe6 at its relaxed geometry (PBE).

Unit cell a=7.983 b=7.983 c=8.887 alpha=98.60 beta=98.60 gamma=120.00
Atoms (fractional coordinates):
1 Rb 0.000 0.000 0.000
2 Rb 0.334 0.666 0.000
3 Rb 0.666 0.334 0.000
4 Pu 0.167 0.833 0.500
5 Pu 0.833 0.167 0.500
6 Sb 0.500 0.500 0.500
7 Te 0.103 0.434 0.302
8 Te 0.234 0.234 0.698
9 Te 0.434 0.103 0.302
10 Te 0.566 0.897 0.698
11 Te 0.766 0.766 0.302
12 Te 0.897 0.566 0.698

Properties
symmetry	C2/m, No. 12
energy relative to the elements, uncorrected	-0.90	eV/atom
M_tot	10.00	μB per formula unit
VASP energy	-5.445	eV/atom

- The highest VASP energy belongs to which entry?
  BaTl2CdAg